No. 1
DFT (PBE-GGA) results for InRuOF2 after structural relaxation.

Geometry as extended XYZ:
```
5
Lattice="-1.501 2.621 -3.091 0.379 -3.191 -2.890 -3.816 -1.205 0.831" Properties=species:S:1:pos:R:3 pbc="T T T"
O -1.908 -0.603 0.416
F 0.189 -1.595 -1.445
F -0.751 1.311 -1.545
In 0.000 0.000 0.000
Ru -2.469 -0.888 -2.575
```

Properties
SG: P4/mmm, No. 123
V: 15.26 A^3/atom
DOS(E_F): 2.88 states/eV/f.u.
energy relative to the elements, uncorrected: -683 meV/atom
ΔE to the lowest computed polymorph: 0.454 eV per atom
crystal system: tetragonal

No. 2
DFT (PBE-GGA) results for InRuO2F after structural relaxation.

Geometry as extended XYZ:
```
5
Lattice="4.198 0.000 0.000 0.000 4.198 0.000 0.000 0.000 4.132" Properties=species:S:1:pos:R:3 pbc="T T T"
In 0.000 0.000 0.000
Ru 2.099 2.099 2.066
O 2.099 0.000 0.000
O 0.000 2.099 0.000
F 0.000 0.000 2.066
```

Properties
SG: P4/mmm, No. 123
V: 14.56 A^3/atom
DOS(E_F): 3.70 states/eV/f.u.
energy relative to the elements, uncorrected: -358 meV/atom
crystal system: tetragonal

No. 3
DFT (PBE-GGA) results for InSO2F after structural relaxation.

Geometry as extended XYZ:
```
5
Lattice="-0.376 3.143 2.835 -3.653 -1.677 1.375 2.058 -2.231 2.746" Properties=species:S:1:pos:R:3 pbc="T T T"
O -0.188 1.571 1.417
O -1.827 -0.839 0.688
In 0.000 0.000 0.000
F 1.029 -1.115 1.373
S -0.986 -0.383 3.478
```

Properties
SG: P4/mmm, No. 123
V: 14.78 A^3/atom
DOS(E_F): 3.43 states/eV/f.u.
energy relative to the elements, uncorrected: -260 meV/atom
crystal system: tetragonal

No. 4
DFT (PBE-GGA) results for InSO2F after structural relaxation.

Geometry as extended XYZ:
```
5
Lattice="-1.181 -2.515 2.351 0.779 -2.617 -2.407 5.008 -0.416 2.072" Properties=species:S:1:pos:R:3 pbc="T T T"
O -0.591 -1.257 1.176
O 0.389 -1.308 -1.204
In 2.303 -2.774 1.008
S 0.000 0.000 0.000
F 2.504 -0.208 1.036
```

Properties
SG: P4/mmm, No. 123
V: 14.40 A^3/atom
DOS(E_F): 3.07 states/eV/f.u.
energy relative to the elements, uncorrected: -517 meV/atom
crystal system: tetragonal